No. 1
A plane-wave DFT calculation with PBE was carried out for a relaxed CdReBi2N crystal.

Cell and atoms, written as CIF:
```
data_CdReBi2N
_cell_length_a 5.722
_cell_length_b 5.722
_cell_length_c 3.922
_cell_angle_alpha 90.00
_cell_angle_beta 90.00
_cell_angle_gamma 90.00
_symmetry_space_group_name_H-M 'P 4/m m m'
_symmetry_Int_Tables_number 123
_symmetry_space_group_name_Hall '-P 4 2'
loop_
_atom_site_label
_atom_site_type_symbol
_atom_site_fract_x
_atom_site_fract_y
_atom_site_fract_z
Cd1 Cd 0.000 0.000 0.000
Re1 Re 0.500 0.500 0.500
Bi1 Bi 0.000 0.500 0.000
N1 N 0.000 0.000 0.500
```

- energy relative to the elements, uncorrected (meV/atom) = 1917



No. 2
A plane-wave DFT calculation with PBE was carried out for a relaxed Ba8Ge2Pb crystal.

Cell and atoms, written as CIF:
```
data_Ba8Ge2Pb
_cell_length_a 21.662
_cell_length_b 5.734
_cell_length_c 8.258
_cell_angle_alpha 90.00
_cell_angle_beta 104.73
_cell_angle_gamma 90.00
_symmetry_space_group_name_H-M 'C 1 2/m 1'
_symmetry_Int_Tables_number 12
loop_
_symmetry_equiv_pos_as_xyz
'x,y,z'
'-x,-y,-z'
'-x,y,-z'
'x,-y,z'
'x+1/2,y+1/2,z'
'-x+1/2,-y+1/2,-z'
'-x+1/2,y+1/2,-z'
'x+1/2,-y+1/2,z'
loop_
_atom_site_label
_atom_site_type_symbol
_atom_site_fract_x
_atom_site_fract_y
_atom_site_fract_z
Ba1 Ba 0.043 0.000 0.289
Ba2 Ba 0.092 0.500 0.943
Ba3 Ba 0.171 0.500 0.460
Ba4 Ba 0.207 0.000 0.831
Ge1 Ge 0.194 0.000 0.221
Pb1 Pb 0.000 0.500 0.500
```

- energy of formation (kJ per mole of atoms) = -32.2



No. 3
A plane-wave DFT calculation with PBE was carried out for a relaxed Pr3Sm4Tl crystal.

Cell and atoms, written as CIF:
```
data_Pr3Sm4Tl
_cell_length_a 11.509
_cell_length_b 7.261
_cell_length_c 6.340
_cell_angle_alpha 90.00
_cell_angle_beta 90.00
_cell_angle_gamma 90.00
_symmetry_space_group_name_H-M 'P m n 21'
_symmetry_Int_Tables_number 31
loop_
_symmetry_equiv_pos_as_xyz
'x,y,z'
'-x+1/2,-y,z+1/2'
'-x,y,z'
'x+1/2,-y,z+1/2'
loop_
_atom_site_label
_atom_site_type_symbol
_atom_site_fract_x
_atom_site_fract_y
_atom_site_fract_z
Pr1 Pr 0.000 0.128 0.000
Pr2 Pr 0.241 0.116 0.660
Sm1 Sm 0.000 0.376 0.463
Sm2 Sm 0.000 0.629 0.000
Sm3 Sm 0.233 0.629 0.645
Tl1 Tl 0.000 0.873 0.483
```

- energy of formation (kJ per mole of atoms) = -6.8



No. 4
A plane-wave DFT calculation with PBE was carried out for a relaxed Er3Al8Fe3 crystal.

Cell and atoms, written as CIF:
```
data_Er3Al8Fe3
_cell_length_a 4.280
_cell_length_b 9.429
_cell_length_c 12.157
_cell_angle_alpha 90.00
_cell_angle_beta 90.00
_cell_angle_gamma 90.00
_symmetry_space_group_name_H-M 'I m m m'
_symmetry_Int_Tables_number 71
_symmetry_space_group_name_Hall '-I 2 2'
loop_
_atom_site_label
_atom_site_type_symbol
_atom_site_fract_x
_atom_site_fract_y
_atom_site_fract_z
Er1 Er 0.000 0.000 0.000
Er2 Er 0.000 0.000 0.301
Al1 Al 0.000 0.292 0.121
Al2 Al 0.000 0.358 0.351
Fe1 Fe 0.000 0.167 0.500
Fe2 Fe 0.000 0.500 0.000
```

- energy of formation (kJ per mole of atoms) = -37.1



No. 5
A plane-wave DFT calculation with PBE was carried out for a relaxed Ba2CdInH crystal.

Cell and atoms, written as CIF:
```
data_Ba2CdInH
_cell_length_a 5.775
_cell_length_b 5.775
_cell_length_c 4.602
_cell_angle_alpha 90.00
_cell_angle_beta 90.00
_cell_angle_gamma 90.00
_symmetry_space_group_name_H-M 'P 4/m m m'
_symmetry_Int_Tables_number 123
_symmetry_space_group_name_Hall '-P 4 2'
loop_
_atom_site_label
_atom_site_type_symbol
_atom_site_fract_x
_atom_site_fract_y
_atom_site_fract_z
Ba1 Ba 0.000 0.500 0.000
Cd1 Cd 0.000 0.000 0.500
In1 In 0.500 0.500 0.500
H1 H 0.500 0.500 0.000
```



No. 6
A plane-wave DFT calculation with PBE was carried out for a relaxed LiGa2Au2 crystal.

Cell and atoms, written as CIF:
```
data_LiGa2Au2
_cell_length_a 4.883
_cell_length_b 4.883
_cell_length_c 8.499
_cell_angle_alpha 90.00
_cell_angle_beta 90.00
_cell_angle_gamma 90.00
_symmetry_space_group_name_H-M 'I 4/m m m'
_symmetry_Int_Tables_number 139
_symmetry_space_group_name_Hall '-I 4 2'
loop_
_atom_site_label
_atom_site_type_symbol
_atom_site_fract_x
_atom_site_fract_y
_atom_site_fract_z
Li1 Li 0.000 0.000 0.000
Ga1 Ga 0.000 0.000 0.353
Au1 Au 0.000 0.500 0.250
```

- energy of formation (kJ per mole of atoms) = -24.9



No. 7
A plane-wave DFT calculation with PBE was carried out for a relaxed GePb2Se crystal.

Cell and atoms, written as CIF:
```
data_GePb2Se
_cell_length_a 6.524
_cell_length_b 6.524
_cell_length_c 14.093
_cell_angle_alpha 90.00
_cell_angle_beta 90.00
_cell_angle_gamma 90.00
_symmetry_space_group_name_H-M 'I -4 2 d'
_symmetry_Int_Tables_number 122
_symmetry_space_group_name_Hall 'I -4 2bw'
loop_
_atom_site_label
_atom_site_type_symbol
_atom_site_fract_x
_atom_site_fract_y
_atom_site_fract_z
Ge1 Ge 0.000 0.000 0.000
Pb1 Pb 0.238 0.250 0.125
Se1 Se 0.000 0.000 0.500
```

- energy relative to the elements, uncorrected (meV/atom) = 106



No. 8
A plane-wave DFT calculation with PBE was carried out for a relaxed BaTmCd2 crystal.

Cell and atoms, written as CIF:
```
data_BaTmCd2
_cell_length_a 7.937
_cell_length_b 7.937
_cell_length_c 7.937
_cell_angle_alpha 90.00
_cell_angle_beta 90.00
_cell_angle_gamma 90.00
_symmetry_space_group_name_H-M 'F m -3 m'
_symmetry_Int_Tables_number 225
_symmetry_space_group_name_Hall '-F 4 2 3'
loop_
_atom_site_label
_atom_site_type_symbol
_atom_site_fract_x
_atom_site_fract_y
_atom_site_fract_z
Ba1 Ba 0.000 0.000 0.000
Tm1 Tm 0.000 0.000 0.500
Cd1 Cd 0.250 0.250 0.250
```

- energy of formation (kJ per mole of atoms) = -15.9



Calculated total energy across the listed records, respectively: -19.86 -31.99 -36.15 -74.39 -12.35 -15.81 -15.10 -8.88 eV per formula unit.